# 1
A plane-wave DFT calculation with GGA-PBE was carried out for crystalline HoSnGe2 at its relaxed geometry.

The formation energy comes out at -0.2906 eV/atom. The calculation puts the total DFT energy (no corrections) at -4.744 eV per atom. Its symmetry is P4/mmm (123). As for the density of states at the Fermi level: 1.4 states/eV/f.u.

Unit cell a=3.8806 b=3.8806 c=6.1069 alpha=90.00 beta=90.00 gamma=90.00
Positions (direct):
Ho: 0.0000 0.0000 0.0000
Sn: 0.0000 0.0000 0.5000
Ge: 0.5000 0.5000 0.2230
Ge: 0.5000 0.5000 0.7770


# 2
A plane-wave DFT calculation with GGA-PBE was carried out for crystalline SrHo4Ge4 at its relaxed geometry.

The formation energy comes out at -0.6295 eV/atom. The calculation puts the total DFT energy (no corrections) at -4.903 eV per atom. Its symmetry is P4_2/n (86). As for the density of states at the Fermi level: 3.5 states/eV/f.u.

Unit cell a=9.5275 b=9.5275 c=5.7438 alpha=90.00 beta=90.00 gamma=90.00
Positions (direct):
Sr: 0.2500 0.2500 0.2500
Sr: 0.7500 0.7500 0.7500
Ho: 0.1125 0.6311 0.1354
Ho: 0.1311 0.8875 0.6354
Ho: 0.3689 0.6125 0.6354
Ho: 0.3875 0.8689 0.1354
Ho: 0.6125 0.1311 0.8646
Ho: 0.6311 0.3875 0.3646
Ho: 0.8689 0.1125 0.3646
Ho: 0.8875 0.3689 0.8646
Ge: 0.0639 0.5818 0.6495
Ge: 0.0818 0.9361 0.1495
Ge: 0.4182 0.5639 0.1495
Ge: 0.4361 0.9182 0.6495
Ge: 0.5639 0.0818 0.3505
Ge: 0.5818 0.4361 0.8505
Ge: 0.9182 0.0639 0.8505
Ge: 0.9361 0.4182 0.3505


# 3
A plane-wave DFT calculation with GGA-PBE was carried out for crystalline SrHoGe2 at its relaxed geometry.

The formation energy comes out at -0.4539 eV/atom. The calculation puts the total DFT energy (no corrections) at -4.327 eV per atom. Its symmetry is R-3m (166). As for the density of states at the Fermi level: 3.6 states/eV/f.u.

Unit cell a=6.3860 b=6.3860 c=6.3860 alpha=43.43 beta=43.43 gamma=43.43
Positions (direct):
Sr: 0.0000 0.0000 0.0000
Ho: 0.5000 0.5000 0.5000
Ge: 0.2312 0.2312 0.2312
Ge: 0.7688 0.7688 0.7688


# 4
A plane-wave DFT calculation with GGA-PBE was carried out for crystalline Ho2Ta3Ge4 at its relaxed geometry.

The formation energy comes out at -0.6469 eV/atom. The calculation puts the total DFT energy (no corrections) at -7.667 eV per atom. Its symmetry is P2_1/c (14). As for the density of states at the Fermi level: 4.0 states/eV/f.u.

Unit cell a=7.1420 b=7.1397 c=7.0183 alpha=90.00 beta=109.56 gamma=90.00
Positions (direct):
Ho: 0.1864 0.1708 0.0574
Ho: 0.1864 0.3292 0.5574
Ho: 0.8136 0.6708 0.4426
Ho: 0.8136 0.8292 0.9426
Ta: 0.2552 0.6745 0.2460
Ta: 0.2552 0.8255 0.7460
Ta: 0.5000 0.0000 0.5000
Ta: 0.5000 0.5000 0.0000
Ta: 0.7448 0.1745 0.2540
Ta: 0.7448 0.3255 0.7540
Ge: 0.0848 0.5366 0.8557
Ge: 0.0848 0.9634 0.3557
Ge: 0.4897 0.1320 0.8651
Ge: 0.4897 0.3680 0.3651
Ge: 0.5103 0.6320 0.6349
Ge: 0.5103 0.8680 0.1349
Ge: 0.9152 0.0366 0.6443
Ge: 0.9152 0.4634 0.1443


# 5
A plane-wave DFT calculation with GGA-PBE was carried out for crystalline HoTaGe2 at its relaxed geometry.

The formation energy comes out at 0.2834 eV/atom. The calculation puts the total DFT energy (no corrections) at -6.133 eV per atom. Its symmetry is R-3m (166). As for the density of states at the Fermi level: 3.1 states/eV/f.u.

Unit cell a=10.5593 b=10.5593 c=10.5593 alpha=16.63 beta=16.63 gamma=16.63
Positions (direct):
Ho: 0.0000 0.0000 0.0000
Ta: 0.5000 0.5000 0.5000
Ge: 0.4149 0.4149 0.4149
Ge: 0.5851 0.5851 0.5851


# 6
A plane-wave DFT calculation with GGA-PBE was carried out for crystalline HoTa4Ge2 at its relaxed geometry.

The formation energy comes out at -0.3135 eV/atom. The calculation puts the total DFT energy (no corrections) at -9.060 eV per atom. Its symmetry is Cmmm (65). As for the density of states at the Fermi level: 5.8 states/eV/f.u.

Unit cell a=8.6468 b=8.6468 c=4.3211 alpha=90.00 beta=90.00 gamma=155.35
Positions (direct):
Ho: 0.0000 0.0000 0.0000
Ta: 0.1837 0.8163 0.5000
Ta: 0.3216 0.6784 0.0000
Ta: 0.6784 0.3216 0.0000
Ta: 0.8163 0.1837 0.5000
Ge: 0.4273 0.5727 0.5000
Ge: 0.5727 0.4273 0.5000


Question: Which of these has the lowest total DFT energy (no corrections)?
Answer: HoTa4Ge2